Ba6Sb2NO: optimized geometry, PBE.

Computed properties:
- raw formation energy (eV per atom) = -1.1541

```
data_Ba6Sb2NO
_space_group_name_H-M_alt 'P m m n'
_space_group_IT_number 59
_cell_length_a 7.805
_cell_length_b 11.014
_cell_length_c 7.805
_cell_angle_alpha 90.00
_cell_angle_beta 90.00
_cell_angle_gamma 90.00
loop_
_space_group_symop_operation_xyz
'x,y,z'
'-x,-y,-z'
'-x+1/2,-y+1/2,z'
'x+1/2,y+1/2,-z'
'x+1/2,-y,-z'
'-x+1/2,y,z'
'-x,y+1/2,-z'
'x,-y+1/2,z'
loop_
_atom_site_label
_atom_site_fract_x
_atom_site_fract_y
_atom_site_fract_z
Ba1 0.001 0.250 0.002
Ba2 0.002 0.250 0.499
Ba3 0.250 0.001 0.250
Sb1 0.250 0.000 0.750
N1 0.250 0.250 0.250
O1 0.250 0.750 0.250
```

***

LaFeP2: optimized geometry, PBE.

Computed properties:
- DFT formation energy (eV per atom) = -0.32

```
data_LaFeP2
_space_group_name_H-M_alt 'P 4/m m m'
_space_group_IT_number 123
_space_group_name_Hall '-P 4 2'
_cell_length_a 3.260
_cell_length_b 3.260
_cell_length_c 6.475
_cell_angle_alpha 90.00
_cell_angle_beta 90.00
_cell_angle_gamma 90.00
loop_
_atom_site_label
_atom_site_fract_x
_atom_site_fract_y
_atom_site_fract_z
La1 0.000 0.000 0.000
Fe1 0.000 0.000 0.500
P1 0.500 0.500 0.323
```

***

BaPrHfO4: optimized geometry, PBE.

Computed properties:
- raw formation energy (eV per atom) = -2.9794

```
data_BaPrHfO4
_space_group_name_H-M_alt 'I 4 m m'
_space_group_IT_number 107
_space_group_name_Hall 'I 4 -2'
_cell_length_a 4.127
_cell_length_b 4.127
_cell_length_c 13.216
_cell_angle_alpha 90.00
_cell_angle_beta 90.00
_cell_angle_gamma 90.00
loop_
_atom_site_label
_atom_site_fract_x
_atom_site_fract_y
_atom_site_fract_z
Ba1 0.000 0.000 0.000
Pr1 0.000 0.000 0.693
Hf1 0.000 0.000 0.348
O1 0.000 0.000 0.192
O2 0.000 0.000 0.514
O3 0.000 0.500 0.343
```

***

SrLa2Cd2: optimized geometry, PBE.

Computed properties:
- DFT formation energy (eV per atom) = 0.02

```
data_SrLa2Cd2
_space_group_name_H-M_alt 'I 4/m m m'
_space_group_IT_number 139
_space_group_name_Hall '-I 4 2'
_cell_length_a 5.684
_cell_length_b 5.684
_cell_length_c 11.385
_cell_angle_alpha 90.00
_cell_angle_beta 90.00
_cell_angle_gamma 90.00
loop_
_atom_site_label
_atom_site_fract_x
_atom_site_fract_y
_atom_site_fract_z
Sr1 0.000 0.000 0.000
La1 0.000 0.000 0.369
Cd1 0.000 0.500 0.250
```

***

PuPaMnRh: optimized geometry, PBE.

Computed properties:
- DFT formation energy (eV per atom) = -0.16

```
data_PuPaMnRh
_space_group_name_H-M_alt 'F -4 3 m'
_space_group_IT_number 216
_space_group_name_Hall 'F -4 2 3'
_cell_length_a 6.566
_cell_length_b 6.566
_cell_length_c 6.566
_cell_angle_alpha 90.00
_cell_angle_beta 90.00
_cell_angle_gamma 90.00
loop_
_atom_site_label
_atom_site_fract_x
_atom_site_fract_y
_atom_site_fract_z
Pu1 0.000 0.000 0.000
Pa1 0.250 0.250 0.250
Mn1 0.000 0.000 0.500
Rh1 0.250 0.250 0.750
```

***

TbPrHg4: optimized geometry, PBE.

Computed properties:
- DFT formation energy (eV per atom) = -0.25

```
data_TbPrHg4
_space_group_name_H-M_alt 'F -4 3 m'
_space_group_IT_number 216
_space_group_name_Hall 'F -4 2 3'
_cell_length_a 8.497
_cell_length_b 8.497
_cell_length_c 8.497
_cell_angle_alpha 90.00
_cell_angle_beta 90.00
_cell_angle_gamma 90.00
loop_
_atom_site_label
_atom_site_fract_x
_atom_site_fract_y
_atom_site_fract_z
Tb1 0.000 0.000 0.000
Pr1 0.250 0.250 0.250
Hg1 0.125 0.125 0.625
```

***

ScNi3H: optimized geometry, PBE.

Computed properties:
- total DFT energy (no corrections) (eV per atom) = -5.65

```
data_ScNi3H
_space_group_name_H-M_alt 'R -3 c'
_space_group_IT_number 167
_space_group_name_Hall '-R 3 2"c'
_cell_length_a 6.7575
_cell_length_b 6.7575
_cell_length_c 8.3839
_cell_angle_alpha 90.00
_cell_angle_beta 90.00
_cell_angle_gamma 120.00
loop_
_atom_site_label
_atom_site_fract_x
_atom_site_fract_y
_atom_site_fract_z
Sc1 0.0000 0.0000 0.0000
Ni1 0.0000 0.2522 0.2500
H1 0.0000 0.0000 0.2500
```

***

K2MoOs: optimized geometry, PBE.

Computed properties:
- DFT formation energy (eV per atom) = 1.09

```
data_K2MoOs
_space_group_name_H-M_alt 'I m m 2'
_space_group_IT_number 44
_cell_length_a 3.621
_cell_length_b 6.113
_cell_length_c 11.348
_cell_angle_alpha 90.00
_cell_angle_beta 90.00
_cell_angle_gamma 90.00
loop_
_space_group_symop_operation_xyz
'x,y,z'
'-x,-y,z'
'-x,y,z'
'x,-y,z'
'x+1/2,y+1/2,z+1/2'
'-x+1/2,-y+1/2,z+1/2'
'-x+1/2,y+1/2,z+1/2'
'x+1/2,-y+1/2,z+1/2'
loop_
_atom_site_label
_atom_site_fract_x
_atom_site_fract_y
_atom_site_fract_z
K1 0.000 0.000 0.000
K2 0.000 0.500 0.210
Mo1 0.000 0.500 0.804
Os1 0.000 0.000 0.430
```

***

Pr8Sm3Tm2: optimized geometry, PBE.

Computed properties:
- DFT formation energy (eV per atom) = 0.20

```
data_Pr8Sm3Tm2
_space_group_name_H-M_alt 'C 1 2/m 1'
_space_group_IT_number 12
_cell_length_a 20.501
_cell_length_b 7.784
_cell_length_c 5.846
_cell_angle_alpha 90.00
_cell_angle_beta 90.03
_cell_angle_gamma 90.00
loop_
_space_group_symop_operation_xyz
'x,y,z'
'-x,-y,-z'
'-x,y,-z'
'x,-y,z'
'x+1/2,y+1/2,z'
'-x+1/2,-y+1/2,-z'
'-x+1/2,y+1/2,-z'
'x+1/2,-y+1/2,z'
loop_
_atom_site_label
_atom_site_fract_x
_atom_site_fract_y
_atom_site_fract_z
Pr1 0.108 0.207 0.000
Pr2 0.133 0.500 0.499
Pr3 0.175 0.000 0.501
Sm1 0.000 0.214 0.500
Sm2 0.000 0.500 0.000
Tm1 0.240 0.500 0.999
```

***

CdMoCl: optimized geometry, PBE.

Computed properties:
- raw formation energy (eV per atom) = 0.0222

```
data_CdMoCl
_space_group_name_H-M_alt 'P 3 m 1'
_space_group_IT_number 156
_cell_length_a 3.0657
_cell_length_b 3.0657
_cell_length_c 8.1776
_cell_angle_alpha 90.00
_cell_angle_beta 90.00
_cell_angle_gamma 120.00
loop_
_space_group_symop_operation_xyz
'x,y,z'
'-y,x-y,z'
'-x+y,-x,z'
'-y,-x,z'
'-x+y,y,z'
'x,x-y,z'
loop_
_atom_site_label
_atom_site_fract_x
_atom_site_fract_y
_atom_site_fract_z
Cd1 0.0000 0.0000 0.0000
Mo1 0.3333 0.6667 0.7059
Cl1 0.6667 0.3333 0.5061
```

***

Cu2PtI6: optimized geometry, PBE.

Computed properties:
- raw formation energy (eV per atom) = -0.1170

```
data_Cu2PtI6
_space_group_name_H-M_alt 'C 1 2/c 1'
_space_group_IT_number 15
_cell_length_a 16.256
_cell_length_b 12.122
_cell_length_c 6.941
_cell_angle_alpha 90.00
_cell_angle_beta 94.05
_cell_angle_gamma 90.00
loop_
_space_group_symop_operation_xyz
'x,y,z'
'-x,-y,-z'
'-x,y,-z+1/2'
'x,-y,z+1/2'
'x+1/2,y+1/2,z'
'-x+1/2,-y+1/2,-z'
'-x+1/2,y+1/2,-z+1/2'
'x+1/2,-y+1/2,z+1/2'
loop_
_atom_site_label
_atom_site_fract_x
_atom_site_fract_y
_atom_site_fract_z
Cu1 0.126 0.098 0.313
Pt1 0.000 0.414 0.250
I1 0.092 0.253 0.089
I2 0.096 0.427 0.580
I3 0.155 0.091 0.676
```

***

Rb3MgZr: optimized geometry, PBE.

Computed properties:
- DFT formation energy (eV per atom) = 1.13

```
data_Rb3MgZr
_space_group_name_H-M_alt 'P m -3 m'
_space_group_IT_number 221
_space_group_name_Hall '-P 4 2 3'
_cell_length_a 7.087
_cell_length_b 7.087
_cell_length_c 7.087
_cell_angle_alpha 90.00
_cell_angle_beta 90.00
_cell_angle_gamma 90.00
loop_
_atom_site_label
_atom_site_fract_x
_atom_site_fract_y
_atom_site_fract_z
Rb1 0.000 0.000 0.500
Mg1 0.500 0.500 0.500
Zr1 0.000 0.000 0.000
```